1.
Compound: Te2WBr
Source: Alexandria via LeMat-Bulk
Functional: PBE
Structure: relaxed

Cell: 4.9960 4.9960 7.0922 Å, 90.00 90.00 90.00°
Atoms (fractional coordinates):
Te: 0.0000 0.0000 0.0000
Te: 0.0000 0.5000 0.2500
Te: 0.5000 0.0000 0.7500
Te: 0.5000 0.5000 0.5000
W: 0.0000 0.5000 0.7500
W: 0.5000 0.0000 0.2500
Br: 0.0000 0.0000 0.5000
Br: 0.5000 0.5000 0.0000

Summary:
The value obtained for the uncorrected formation energy is 1021 meV per atom. Its energy above the most stable polymorph in this dataset is 0.950 eV per atom.


2.
Compound: K2Li
Source: Alexandria via LeMat-Bulk
Functional: PBE
Structure: relaxed

Cell: 9.0200 9.0200 9.0200 Å, 90.00 90.00 90.00°
Atoms (fractional coordinates):
K: 0.2500 0.2500 0.2500
K: 0.2500 0.2500 0.7500
K: 0.2500 0.7500 0.2500
K: 0.2500 0.7500 0.7500
K: 0.7500 0.2500 0.2500
K: 0.7500 0.2500 0.7500
K: 0.7500 0.7500 0.2500
K: 0.7500 0.7500 0.7500
Li: 0.0000 0.0000 0.0000
Li: 0.0000 0.5000 0.5000
Li: 0.5000 0.0000 0.5000
Li: 0.5000 0.5000 0.0000

Summary:
Its energy above the most stable polymorph in this dataset is 0.095 eV per atom. The energy relative to the elements is 0.1926 eV/atom.


3.
Compound: RbNaInAs2
Source: Alexandria via LeMat-Bulk
Functional: PBE
Structure: relaxed

Cell: 5.8852 5.8852 6.0674 Å, 90.00 90.00 90.00°
Atoms (fractional coordinates):
Rb: 0.0000 0.0000 0.0000
Na: 0.5000 0.5000 0.5000
In: 0.0000 0.0000 0.5000
As: 0.0000 0.5000 0.0000
As: 0.5000 0.0000 0.0000

Summary:
Its energy above the most stable polymorph in this dataset is 1.216 eV per atom. The energy relative to the elements is 0.9257 eV/atom.


4.
Compound: ScFe3I
Source: Alexandria via LeMat-Bulk
Functional: PBE
Structure: relaxed

Cell: 4.6097 4.6097 4.6097 Å, 90.00 90.00 90.00°
Atoms (fractional coordinates):
Sc: 0.0000 0.0000 0.0000
Fe: 0.0000 0.5000 0.5000
Fe: 0.5000 0.0000 0.5000
Fe: 0.5000 0.5000 0.0000
I: 0.5000 0.5000 0.5000

Summary:
The value obtained for the uncorrected formation energy is 1147 meV per atom. Its energy above the most stable polymorph in this dataset is 0.000 eV per atom.


5.
Compound: CeTcI
Source: Alexandria via LeMat-Bulk
Functional: PBE
Structure: relaxed

Cell: 4.1177 4.9670 10.0614 Å, 93.61 90.18 114.48°
Atoms (fractional coordinates):
Ce: 0.1510 0.3037 0.3819
Ce: 0.8490 0.6963 0.6181
Tc: 0.4161 0.8341 0.3856
Tc: 0.5839 0.1659 0.6144
I: 0.1465 0.2882 0.8217
I: 0.8535 0.7118 0.1783

Summary:
The value obtained for the uncorrected formation energy is -325 meV per atom.


6.
Compound: Mn3FeP2
Source: Alexandria via LeMat-Bulk
Functional: PBE
Structure: relaxed

Cell: 6.9462 6.9462 6.9462 Å, 139.30 59.03 139.16°
Atoms (fractional coordinates):
Mn: 0.1807 0.2501 0.4308
Mn: 0.2500 0.2500 0.0000
Mn: 0.3193 0.7501 0.0694
Mn: 0.6807 0.2499 0.9306
Mn: 0.7500 0.7500 0.0000
Mn: 0.8193 0.7499 0.5692
Fe: 0.2500 0.7500 0.5000
Fe: 0.7500 0.2500 0.5000
P: 0.1304 0.7521 0.8825
P: 0.3696 0.2521 0.6217
P: 0.6304 0.7479 0.3783
P: 0.8696 0.2479 0.1175

Summary:
The energy relative to the elements is -0.4455 eV/atom.